Version i
A relaxed LiCdFe crystal. Source: Alexandria via LeMat-Bulk, functional PBE.

Cell: 4.3812 4.3812 4.3812 Å, 60.00 60.00 60.00°
Last column: magnetic moment on the atom in μB.
Sites, in units of the cell vectors:
Fe 0.2500 0.2500 0.2500  2.77
Li 0.0000 0.0000 0.0000  -0.03
Cd 0.5000 0.5000 0.5000  -0.05

Results
size of the total moment = 2.65 μB per cell
space group = F-43m (216)
crystal system = cubic

Version ii
A relaxed LiCdFe crystal. Source: Alexandria via LeMat-Bulk, functional PBE.

Cell: 4.4725 4.4725 2.7050 Å, 90.00 90.00 120.00°
Last column: magnetic moment on the atom in μB.
Sites, in units of the cell vectors:
Fe 0.6667 0.3333 0.3777  2.70
Li 0.3333 0.6667 0.6457  -0.04
Cd 0.0000 0.0000 0.9767  -0.05

Results
size of the total moment = 2.57 μB per cell
space group = P3m1 (156)
crystal system = trigonal

Version iii
A relaxed LiCdFe crystal. Source: Alexandria via LeMat-Bulk, functional PBE.

Cell: 7.1311 6.9865 2.7211 Å, 81.89 75.91 22.20°
Last column: magnetic moment on the atom in μB.
Sites, in units of the cell vectors:
Li 0.6753 0.6753 0.3247  -0.06
Cd 0.9960 0.9960 0.0040  -0.06
Fe 0.3286 0.3286 0.6714  2.67

Results
size of the total moment = 2.36 μB per cell
space group = Fmm2 (42)
crystal system = orthorhombic

Version iv
A relaxed LiCdFe crystal. Source: Alexandria via LeMat-Bulk, functional PBE.

Cell: 4.8986 4.8986 4.8986 Å, 147.61 130.31 60.57°
Last column: magnetic moment on the atom in μB.
Sites, in units of the cell vectors:
Cd 0.0020 0.0020 0.0000  -0.04
Li 0.3315 0.3315 0.0000  -0.04
Fe 0.6665 0.6665 0.0000  2.69

Results
size of the total moment = 2.58 μB per cell
space group = Imm2 (44)
crystal system = orthorhombic

Relative energy table, unit meV per atom: version i 359; version ii 0; version iii 17; version iv 11

Version i
A relaxed Lu2CdFe crystal. Source: Alexandria via LeMat-Bulk, functional PBE.

Cell: 4.9512 4.9512 4.9512 Å, 60.00 60.00 60.00°
Last column: magnetic moment on the atom in μB.
Sites, in units of the cell vectors:
Lu 0.7500 0.7500 0.7500  -0.22
Lu 0.2500 0.2500 0.2500  -0.22
Cd 0.0000 0.0000 0.0000  -0.03
Fe 0.5000 0.5000 0.5000  2.03

Results
size of the total moment = 1.47 μB per cell
space group = Fm-3m (225)
crystal system = cubic

Version ii
A relaxed Lu2CdFe crystal. Source: Alexandria via LeMat-Bulk, functional PBE.

Cell: 3.4343 5.0345 5.0345 Å, 90.00 90.00 90.00°
Last column: magnetic moment on the atom in μB.
Sites, in units of the cell vectors:
Lu 0.0000 0.5000 0.0000  -0.24
Cd 0.5000 0.0000 0.0000  -0.02
Fe 0.5000 0.5000 0.5000  2.25
Lu 0.0000 0.0000 0.5000  -0.24

Results
size of the total moment = 1.61 μB per cell
space group = P4/mmm (123)
crystal system = tetragonal

Version iii
A relaxed Lu2CdFe crystal. Source: Alexandria via LeMat-Bulk, functional PBE.

Cell: 3.3107 3.3107 7.6428 Å, 90.00 90.00 90.00°
Sites, in units of the cell vectors:
Lu 0.0000 0.0000 0.2049
Lu 0.0000 0.0000 0.7951
Fe 0.5000 0.5000 0.0000
Cd 0.5000 0.5000 0.5000

Results
size of the total moment = 0.00 μB per cell
space group = P4/mmm (123)
crystal system = tetragonal

Relative energy table, unit meV per atom: version i 146; version ii 153; version iii 0

Version i
A relaxed Mg4CdFe crystal. Source: Alexandria via LeMat-Bulk, functional PBE.

Cell: 5.6244 5.6244 5.6244 Å, 60.00 60.00 60.00°
Last column: magnetic moment on the atom in μB.
Sites, in units of the cell vectors:
Fe 0.0000 0.0000 0.0000  2.93
Mg 0.3746 0.8763 0.3746  -0.01
Mg 0.3746 0.3746 0.3746  -0.01
Mg 0.3746 0.3746 0.8763  -0.01
Cd 0.7500 0.7500 0.7500  0.00
Mg 0.8763 0.3746 0.3746  -0.01

Results
size of the total moment = 2.78 μB per cell
space group = F-43m (216)
crystal system = cubic

Version ii
A relaxed Mg4CdFe crystal. Source: Alexandria via LeMat-Bulk, functional PBE.

Cell: 5.0605 7.2130 8.0694 Å, 116.55 108.11 90.00°
Last column: magnetic moment on the atom in μB.
Sites, in units of the cell vectors:
Mg 0.8273 0.3263 0.6525  -0.01
Cd 0.8078 0.8067 0.6135  0.00
Mg 0.0000 0.8027 0.0000  -0.01
Fe 0.2834 0.5005 0.0010  2.12
Fe 0.7166 0.4995 0.9990  2.12
Mg 0.6270 0.8884 0.2547  -0.01
Cd 0.1922 0.1933 0.3865  0.00
Mg 0.1727 0.6737 0.3475  -0.01
Mg 0.0000 0.1973 0.0000  -0.01
Mg 0.6270 0.3662 0.2547  -0.01
Mg 0.3730 0.6338 0.7453  -0.01
Mg 0.3730 0.1116 0.7453  -0.01

Results
size of the total moment = 4.00 μB per cell
space group = C2/m (12)
crystal system = monoclinic

Relative energy table, unit meV per atom: version i 329; version ii 0